VASP calculation (PBE-GGA) on an optimized crystal structure of RuPtWC2.

abc: 4.0195 4.0195 4.8977
angles: 90.00 90.00 90.00
Closest atoms and distances in Å follow each position.
Sites, in units of the cell vectors:
Ru 0.0000 0.0000 0.0000  2 W 2.45
Pt 0.5000 0.5000 0.0000  4 Ru 2.84, 8 C 3.17
W 0.0000 0.0000 0.5000  4 C 2.01
C 0.0000 0.5000 0.5000  2 W 2.01
C 0.5000 0.0000 0.5000  2 W 2.01

Calculated values
Calculated formation energy = 1.9830 eV per atom
Theoretical density = 10.58 g cm⁻³